PBEsol AlAgRu2, relaxed; energy of formation = 0.0821 eV/atom; spin magnetization = 0.00 μB/f.u.; space-group type = R-3m, No. 166
1.0
-1.7189 0.8912 1.9479
0.5596 -0.4738 2.6468
3.9875 7.6557 1.9524
Ru Al Ag
2 1 1
Direct
0.7437 0.7437 0.7689 Ru
0.2563 0.2563 0.2311 Ru
0.0000 0.0000 0.0000 Al
0.5000 0.5000 0.5000 Ag